Density functional theory data (PBE with a Hubbard U) for MnFe5O8 after structural relaxation.

extended XYZ file:
```
14
Lattice="5.310 -3.034 -0.005 5.310 3.034 -0.005 3.583 0.000 4.957" Properties=species:S:1:pos:R:3 pbc="T T T"
Mn 7.102 0.000 2.473
Fe 12.471 0.000 4.343
Fe 1.732 0.000 0.603
Fe 4.447 1.517 2.476
Fe 5.310 0.000 -0.005
Fe 4.447 -1.517 2.476
O 3.597 0.000 1.252
O 6.090 -1.470 1.222
O 5.253 0.000 3.626
O 6.090 1.470 1.222
O 10.607 0.000 3.694
O 8.113 1.470 3.724
O 8.950 0.000 1.320
O 8.113 -1.470 3.724
```

Volume = 11.42 Å³ per atom
Uncorrected energy = -0.250 hartree per atom
N(E_F) = 3.449 states/eV/f.u.